Entry 1:
# Ba2SiSbPd6 (GGA-PBE, optimized geometry)
data_Ba2SiSbPd6
_chemical_formula_sum 'Ba2 Si1 Sb1 Pd6'
_symmetry_space_group_name_H-M 'P 1'
_symmetry_Int_Tables_number 1
_symmetry_space_group_name_Hall 'P 1'
_cell_length_a 6.842
_cell_length_b 6.883
_cell_length_c 6.894
_cell_angle_alpha 60.95
_cell_angle_beta 60.81
_cell_angle_gamma 60.86
loop_
_atom_site_label
_atom_site_type_symbol
_atom_site_fract_x
_atom_site_fract_y
_atom_site_fract_z
Ba1 Ba 0.220 0.221 0.219
Ba2 Ba 0.780 0.779 0.781
Si1 Si 0.500 0.500 0.500
Sb1 Sb 0.000 0.000 0.000
Pd1 Pd 0.258 0.655 0.260
Pd2 Pd 0.259 0.258 0.655
Pd3 Pd 0.343 0.742 0.740
Pd4 Pd 0.657 0.258 0.260
Pd5 Pd 0.741 0.742 0.345
Pd6 Pd 0.742 0.345 0.740
# SG   P-1, No. 2
# ΔE_f (raw)   -642.0 meV per atom

***

Entry 2:
# Ba2NaAg2H6 (GGA-PBE, optimized geometry)
data_Ba2NaAg2H6
_chemical_formula_sum 'Ba2 Na1 Ag2 H6'
_symmetry_space_group_name_H-M 'P 1'
_symmetry_Int_Tables_number 1
_symmetry_space_group_name_Hall 'P 1'
_cell_length_a 5.976
_cell_length_b 5.976
_cell_length_c 7.128
_cell_angle_alpha 115.09
_cell_angle_beta 115.09
_cell_angle_gamma 56.20
loop_
_atom_site_label
_atom_site_type_symbol
_atom_site_fract_x
_atom_site_fract_y
_atom_site_fract_z
Ba1 Ba 0.208 0.208 0.205
Ba2 Ba 0.792 0.792 0.795
Na1 Na 0.000 0.000 0.500
Ag1 Ag 0.464 0.464 0.763
Ag2 Ag 0.536 0.536 0.237
H1 H 0.166 0.715 0.183
H2 H 0.268 0.268 0.630
H3 H 0.285 0.834 0.817
H4 H 0.715 0.166 0.183
H5 H 0.732 0.732 0.370
H6 H 0.834 0.285 0.817
# Calculated total energy   -0.1127 hartree per atom
# SG   C2/m, No. 12

***

Entry 3:
# Na5SnBi4 (GGA-PBE, optimized geometry)
data_Na5SnBi4
_chemical_formula_sum 'Na5 Sn1 Bi4'
_symmetry_space_group_name_H-M 'P 1'
_symmetry_Int_Tables_number 1
_symmetry_space_group_name_Hall 'P 1'
_cell_length_a 9.192
_cell_length_b 9.192
_cell_length_c 10.068
_cell_angle_alpha 90.48
_cell_angle_beta 90.48
_cell_angle_gamma 24.24
loop_
_atom_site_label
_atom_site_type_symbol
_atom_site_fract_x
_atom_site_fract_y
_atom_site_fract_z
Na1 Na 0.000 0.000 0.000
Na2 Na 0.298 0.298 0.144
Na3 Na 0.362 0.362 0.692
Na4 Na 0.638 0.638 0.308
Na5 Na 0.702 0.702 0.856
Sn1 Sn 0.000 0.000 0.500
Bi1 Bi 0.191 0.191 0.572
Bi2 Bi 0.464 0.464 0.255
Bi3 Bi 0.536 0.536 0.745
Bi4 Bi 0.809 0.809 0.428
# Calculated total energy   -0.0997 hartree per atom
# SG   C2/m, No. 12

***

Entry 4:
# AcSe4O12 (GGA-PBE, optimized geometry)
data_AcSe4O12
_chemical_formula_sum 'Ac1 Se4 O12'
_symmetry_space_group_name_H-M 'P 1'
_symmetry_Int_Tables_number 1
_symmetry_space_group_name_Hall 'P 1'
_cell_length_a 6.549
_cell_length_b 6.549
_cell_length_c 6.549
_cell_angle_alpha 109.47
_cell_angle_beta 109.47
_cell_angle_gamma 109.47
loop_
_atom_site_label
_atom_site_type_symbol
_atom_site_fract_x
_atom_site_fract_y
_atom_site_fract_z
Ac1 Ac 0.000 0.000 0.000
Se1 Se 0.000 0.000 0.500
Se2 Se 0.000 0.500 0.000
Se3 Se 0.500 0.000 0.000
Se4 Se 0.500 0.500 0.500
O1 O 0.084 0.284 0.800
O2 O 0.200 0.484 0.284
O3 O 0.200 0.916 0.716
O4 O 0.284 0.200 0.484
O5 O 0.284 0.800 0.084
O6 O 0.484 0.284 0.200
O7 O 0.516 0.716 0.800
O8 O 0.716 0.200 0.916
O9 O 0.716 0.800 0.516
O10 O 0.800 0.084 0.284
O11 O 0.800 0.516 0.716
O12 O 0.916 0.716 0.200
# SG   Im-3, No. 204
# ΔE_f (raw)   -610.0 meV per atom

***

Entry 5:
# Ba2BeMo (GGA-PBE, optimized geometry)
data_Ba2BeMo
_chemical_formula_sum 'Ba2 Be1 Mo1'
_symmetry_space_group_name_H-M 'P 1'
_symmetry_Int_Tables_number 1
_symmetry_space_group_name_Hall 'P 1'
_cell_length_a 4.287
_cell_length_b 4.287
_cell_length_c 9.128
_cell_angle_alpha 103.72
_cell_angle_beta 103.72
_cell_angle_gamma 60.02
loop_
_atom_site_label
_atom_site_type_symbol
_atom_site_fract_x
_atom_site_fract_y
_atom_site_fract_z
Ba1 Ba 0.000 0.000 0.000
Ba2 Ba 0.174 0.174 0.516
Be1 Be 0.420 0.420 0.258
Mo1 Mo 0.754 0.754 0.258
# Calculated total energy   -0.1460 hartree per atom
# SG   Cm, No. 8

***

Entry 6:
# ThBe2Ni (GGA-PBE, optimized geometry)
data_ThBe2Ni
_chemical_formula_sum 'Th1 Be2 Ni1'
_symmetry_space_group_name_H-M 'P 1'
_symmetry_Int_Tables_number 1
_symmetry_space_group_name_Hall 'P 1'
_cell_length_a 5.471
_cell_length_b 5.471
_cell_length_c 5.471
_cell_angle_alpha 40.07
_cell_angle_beta 40.07
_cell_angle_gamma 40.07
loop_
_atom_site_label
_atom_site_type_symbol
_atom_site_fract_x
_atom_site_fract_y
_atom_site_fract_z
Th1 Th 0.000 0.000 0.000
Be1 Be 0.192 0.192 0.192
Be2 Be 0.808 0.808 0.808
Ni1 Ni 0.500 0.500 0.500
# Calculated total energy   -0.1989 hartree per atom
# SG   R-3m, No. 166

***

Size of the total moment for the records above, in order: 0.000; 0.000; 0.000; 0.000; 0.482; 0.000 μB/atom
V for the records above, in order: 23.4; 16.9; 34.9; 12.7; 34.9; 15.3 Å³/atom